Entry from OQMD: a geometry-optimized U2PtW4 structure (PBE-GGA).

Cell lengths 6.7928, 6.7928, 3.0582 Å; angles 90.00, 90.00, 104.36 degrees
With the nearest neighbours (Å) after each atom.
Fractional positions:
U (0.0000, 0.5000, 0.0000)  6 W 2.69-2.91
U (0.5000, 0.0000, 0.0000)  6 W 2.69-2.91
Pt (0.0000, 0.0000, 0.5000)  4 W 2.72
W (0.2700, 0.2700, 0.0000)  2 U 2.69, 2 Pt 2.72, 4 W 2.80
W (0.3740, 0.6260, 0.5000)  5 W 2.70-2.80, 4 U 2.91
W (0.6260, 0.3740, 0.5000)  5 W 2.70-2.80, 4 U 2.91
W (0.7300, 0.7300, 0.0000)  2 U 2.69, 2 Pt 2.72, 4 W 2.80

Computed properties:
Formation enthalpy at 0 K ... 3.9 eV per formula unit
Space group ... Cmmm, No. 65